PuTlAu10 PBE optimized geometry; crystal system = orthorhombic; total energy = -4.236 eV per atom; space group = Pmmm; magnetic moment = 5.908 μB per formula unit; ΔH_f (0 K) = -0.114 eV/atom
1.0
4.6649 0.0000 0.0000
0.0000 5.7197 0.0000
0.0000 0.0000 9.6833
Pu Tl Au
1 1 10
Direct
0.0000 0.0000 0.0000 Pu
0.0000 0.5000 0.5000 Tl
0.0000 0.0000 0.3339 Au
0.0000 0.0000 0.6661 Au
0.0000 0.5000 0.1714 Au
0.0000 0.5000 0.8286 Au
0.5000 0.0000 0.5000 Au
0.5000 0.2410 0.2391 Au
0.5000 0.2410 0.7609 Au
0.5000 0.5000 0.0000 Au
0.5000 0.7590 0.2391 Au
0.5000 0.7590 0.7609 Au